## LiPPd2 (PBE-GGA)

Data for an optimized crystal structure of LiPPd2.

Summary:
DFT formation energy   -0.557 eV/atom
SG   Cmcm, No. 63
Calculated volume   119.4 Å³/cell
DOS at the Fermi energy   1.01 states/eV/f.u.

```
LiPPd2
1.0
1.760 -4.828 0.000
1.760 4.828 0.000
0.000 0.000 7.027
Li P Pd
2 2 4
direct
0.044 0.956 0.750
0.956 0.044 0.250
0.235 0.765 0.250
0.765 0.235 0.750
0.358 0.642 0.551
0.358 0.642 0.949
0.642 0.358 0.051
0.642 0.358 0.449
```